(1)
PBE AlCl, optimized geometry; M_tot = 0.0 μB/cell; total energy = -0.2561 Ry per atom; calculated density = 1.94 g/cm3
1.0
-7.979 -3.005 1.950
2.197 -7.866 -3.130
1.809 -1.512 5.070
Al Cl
8 8
Cartesian
0.108 -8.885 0.166 Al
-3.998 -8.362 3.786 Al
0.159 -4.134 0.481 Al
-3.311 -4.142 5.883 Al
0.794 -5.503 -1.696 Al
-2.473 -8.718 -0.405 Al
-1.634 -3.553 3.919 Al
-5.538 -6.237 3.428 Al
-1.284 -2.414 -0.262 Cl
-4.698 -4.735 1.806 Cl
0.725 -7.649 2.085 Cl
-3.594 -9.214 1.617 Cl
-3.545 -6.666 -0.723 Cl
1.498 -7.694 -1.288 Cl
-5.471 -4.689 5.178 Cl
-1.332 -4.962 2.079 Cl



(2)
PBE Te3W, optimized geometry; N(E_F) = 4.68 states/eV/f.u.; M_tot = 0.0 μB/cell; total energy = -0.4032 Ry per atom; calculated density = 8.05 g/cm3
1.0
-0.251 -2.103 -2.709
1.616 -1.050 2.848
-9.848 -4.085 4.083
Te W
3 1
Cartesian
-9.007 -3.736 3.735 Te
-5.765 -2.391 2.390 Te
-2.090 -2.774 0.164 Te
-7.015 -4.816 2.206 W



Formation energy from raw total energies? In order: -0.689; 0.109 eV per atom.